Record 1
An optimized crystal structure of EuScAgPd, computed with PBE.

Results
Symmetry: F-43m, No. 216
Energy of formation: -0.409 eV per atom
Total magnetization: 1.7619 μB/atom
N(E_F): 2.134 states/eV per atom
Calculated total energy: -6.57 eV per atom

Cell and atoms, written as POSCAR:
```
EuScAgPd
1.0
5.007 0.000 0.000
2.504 4.336 0.000
2.504 1.445 4.088
Pd Eu Ag Sc
1 1 1 1
Direct
0.250 0.250 0.250
0.000 0.000 0.000
0.750 0.750 0.750
0.500 0.500 0.500
```

---

Record 2
An optimized crystal structure of SrEuAgPd, computed with PBE.

Results
Symmetry: F-43m, No. 216
Energy of formation: -0.431 eV per atom
Total magnetization: 1.8495 μB/atom
N(E_F): 2.568 states/eV per atom
Calculated total energy: -5.43 eV per atom

Cell and atoms, written as POSCAR:
```
SrEuAgPd
1.0
-5.035 -1.063 1.399
-1.041 -2.203 4.744
-2.372 2.877 3.813
Sr Pd Eu Ag
1 1 1 1
Direct
0.500 0.500 0.500
0.750 0.750 0.750
0.000 0.000 0.000
0.250 0.250 0.250
```

---

Record 3
An optimized crystal structure of TbEuAgPd, computed with PBE.

Results
Symmetry: F-43m, No. 216
Energy of formation: -0.488 eV per atom
Total magnetization: 1.7718 μB/atom
N(E_F): 2.118 states/eV per atom
Calculated total energy: -6.23 eV per atom

Cell and atoms, written as POSCAR:
```
TbEuAgPd
1.0
-0.498 2.275 4.590
2.059 -2.174 4.187
4.092 2.147 2.266
Ag Tb Pd Eu
1 1 1 1
Direct
0.250 0.250 0.250
0.500 0.500 0.500
0.750 0.750 0.750
0.000 0.000 0.000
```

---

Record 4
An optimized crystal structure of EuThAgPd, computed with PBE.

Results
Symmetry: F-43m, No. 216
Energy of formation: -0.365 eV per atom
Total magnetization: 1.7757 μB/atom
N(E_F): 1.868 states/eV per atom
Calculated total energy: -6.80 eV per atom

Cell and atoms, written as POSCAR:
```
EuThAgPd
1.0
5.214 0.000 0.000
2.607 4.516 0.000
2.607 1.505 4.258
Eu Th Ag Pd
1 1 1 1
Direct
0.250 0.250 0.250
0.750 0.750 0.750
0.000 0.000 0.000
0.500 0.500 0.500
```

---

Record 5
An optimized crystal structure of EuTmAgPd, computed with PBE.

Results
Symmetry: F-43m, No. 216
Energy of formation: -0.495 eV per atom
Total magnetization: 1.7719 μB/atom
N(E_F): 1.890 states/eV per atom
Calculated total energy: -6.19 eV per atom

Cell and atoms, written as POSCAR:
```
EuTmAgPd
1.0
-4.502 -2.068 1.228
-0.961 -1.337 4.831
-3.363 2.665 2.764
Ag Pd Eu Tm
1 1 1 1
Direct
0.250 0.250 0.250
0.750 0.750 0.750
0.500 0.500 0.500
0.000 0.000 0.000
```

---

Record 6
An optimized crystal structure of EuZnAgPd, computed with PBE.

Results
Symmetry: F-43m, No. 216
Energy of formation: -0.285 eV per atom
Total magnetization: 1.7277 μB/atom
N(E_F): 3.127 states/eV per atom
Calculated total energy: -5.18 eV per atom

Cell and atoms, written as POSCAR:
```
EuZnAgPd
1.0
-4.763 0.488 0.927
-2.107 -2.736 3.445
-1.475 2.045 4.175
Ag Pd Eu Zn
1 1 1 1
Direct
0.250 0.250 0.250
0.750 0.750 0.750
0.000 0.000 0.000
0.500 0.500 0.500
```

---

Record 7
An optimized crystal structure of PmEuAg2, computed with PBE.

Results
Excess energy over the best structure of this formula in the dataset: 0.06 eV/f.u.
Symmetry: Fm-3m, No. 225
Energy of formation: -0.267 eV per atom
Total magnetization: 1.7640 μB/atom
N(E_F): 2.469 states/eV per atom
Calculated total energy: -5.45 eV per atom

Cell and atoms, written as POSCAR:
```
PmEuAg2
1.0
5.317 0.000 0.000
2.658 4.605 0.000
2.658 1.535 4.341
Ag Pm Eu
2 1 1
Direct
0.250 0.250 0.250
0.750 0.750 0.750
0.500 0.500 0.500
0.000 0.000 0.000
```

---

Record 8
An optimized crystal structure of PmEuAg4, computed with PBE.

Results
Symmetry: F-43m, No. 216
Energy of formation: -0.177 eV per atom
Total magnetization: 1.2140 μB/atom
N(E_F): 0.982 states/eV per atom
Calculated total energy: -4.58 eV per atom

Cell and atoms, written as POSCAR:
```
PmEuAg4
1.0
-1.703 -0.729 -5.505
-5.414 -1.757 -1.157
-3.806 3.690 -2.375
Ag Pm Eu
4 1 1
Direct
0.625 0.625 0.625
0.125 0.625 0.625
0.625 0.625 0.125
0.625 0.125 0.625
0.000 0.000 0.000
0.250 0.250 0.250
```

---

Record 9
An optimized crystal structure of Pm2EuAg, computed with PBE.

Results
Excess energy over the best structure of this formula in the dataset: 0.00 eV/f.u.
Symmetry: P4/mmm, No. 123
Energy of formation: -0.070 eV per atom
Total magnetization: 2.1512 μB/atom
N(E_F): 1.175 states/eV per atom
Calculated total energy: -5.73 eV per atom

Cell and atoms, written as POSCAR:
```
Pm2EuAg
1.0
-0.550 0.445 3.674
3.176 -1.851 0.700
4.620 7.828 -0.256
Ag Pm Eu
1 2 1
Direct
0.500 0.500 0.000
0.000 0.000 0.200
0.000 0.000 0.800
0.500 0.500 0.500
```

---

Record 10
An optimized crystal structure of Pm2EuAg, computed with PBE.

Results
Excess energy over the best structure of this formula in the dataset: 0.62 eV/f.u.
Symmetry: Fm-3m, No. 225
Energy of formation: 0.086 eV per atom
Total magnetization: 1.9275 μB/atom
N(E_F): 1.414 states/eV per atom
Calculated total energy: -5.57 eV per atom

Cell and atoms, written as POSCAR:
```
Pm2EuAg
1.0
-1.361 -5.104 1.584
3.000 -4.305 -1.696
3.192 -2.719 3.582
Pm Ag Eu
2 1 1
Direct
0.250 0.250 0.250
0.750 0.750 0.750
0.500 0.500 0.500
0.000 0.000 0.000
```

---

Record 11
An optimized crystal structure of PmEuAg2, computed with PBE.

Results
Excess energy over the best structure of this formula in the dataset: 0.00 eV/f.u.
Symmetry: P4/mmm, No. 123
Energy of formation: -0.281 eV per atom
Total magnetization: 1.8199 μB/atom
N(E_F): 2.588 states/eV per atom
Calculated total energy: -5.46 eV per atom

Cell and atoms, written as POSCAR:
```
PmEuAg2
1.0
-2.650 1.423 -2.278
-2.634 -0.752 2.595
1.053 6.843 3.051
Pm Eu Ag
1 1 2
Direct
0.500 0.500 0.000
0.500 0.500 0.500
0.000 0.000 0.771
0.000 0.000 0.229
```

---

Record 12
An optimized crystal structure of Pm2EuAg, computed with PBE.

Results
Excess energy over the best structure of this formula in the dataset: 0.40 eV/f.u.
Symmetry: R-3m, No. 166
Energy of formation: 0.029 eV per atom
Total magnetization: 1.8969 μB/atom
N(E_F): 1.171 states/eV per atom
Calculated total energy: -5.63 eV per atom

Cell and atoms, written as POSCAR:
```
Pm2EuAg
1.0
3.694 0.000 0.000
1.847 3.199 0.000
1.847 1.066 10.933
Ag Eu Pm
1 1 2
Direct
0.000 0.000 0.000
0.500 0.500 0.500
0.262 0.262 0.214
0.738 0.738 0.786
```

---

Record 13
An optimized crystal structure of Pm2EuAg, computed with PBE.

Results
Excess energy over the best structure of this formula in the dataset: 0.42 eV/f.u.
Symmetry: P4/mmm, No. 123
Energy of formation: 0.034 eV per atom
Total magnetization: 1.8352 μB/atom
N(E_F): 1.133 states/eV per atom
Calculated total energy: -5.62 eV per atom

Cell and atoms, written as POSCAR:
```
Pm2EuAg
1.0
4.014 0.000 0.000
0.000 5.460 0.000
0.000 0.000 5.460
Ag Eu Pm
1 1 2
Direct
0.500 0.000 0.000
0.500 0.500 0.500
0.000 0.000 0.500
0.000 0.500 0.000
```

---

Record 14
An optimized crystal structure of PmPrEuAg, computed with PBE.

Results
Symmetry: F-43m, No. 216
Energy of formation: 0.128 eV per atom
Total magnetization: 2.1083 μB/atom
N(E_F): 1.586 states/eV per atom
Calculated total energy: -5.54 eV per atom

Cell and atoms, written as POSCAR:
```
PmPrEuAg
1.0
-1.022 2.854 4.663
-4.611 3.081 0.420
-4.110 -1.593 3.392
Pm Eu Pr Ag
1 1 1 1
Direct
0.750 0.750 0.750
0.000 0.000 0.000
0.500 0.500 0.500
0.250 0.250 0.250
```

---

Record 15
An optimized crystal structure of PmEuAgRh, computed with PBE.

Results
Symmetry: F-43m, No. 216
Energy of formation: -0.399 eV per atom
Total magnetization: 1.7713 μB/atom
N(E_F): 1.957 states/eV per atom
Calculated total energy: -6.71 eV per atom

Cell and atoms, written as POSCAR:
```
PmEuAgRh
1.0
5.123 0.000 0.000
2.562 4.437 0.000
2.562 1.479 4.183
Pm Rh Eu Ag
1 1 1 1
Direct
0.500 0.500 0.500
0.750 0.750 0.750
0.000 0.000 0.000
0.250 0.250 0.250
```

---

Record 16
An optimized crystal structure of PmEuAgSb, computed with PBE.

Results
Symmetry: F-43m, No. 216
Total magnetization: 1.9875 μB/atom
N(E_F): 0.721 states/eV per atom
Calculated total energy: -6.13 eV per atom
Raw formation energy: -0.627 eV per atom

Cell and atoms, written as POSCAR:
```
PmEuAgSb
1.0
5.400 0.000 0.000
2.700 4.677 0.000
2.700 1.559 4.409
Sb Ag Eu Pm
1 1 1 1
Direct
0.750 0.750 0.750
0.250 0.250 0.250
0.000 0.000 0.000
0.500 0.500 0.500
```

---

Record 17
An optimized crystal structure of TbPmEuAg, computed with PBE.

Results
Symmetry: F-43m, No. 216
Energy of formation: 0.091 eV per atom
Total magnetization: 1.9369 μB/atom
N(E_F): 1.382 states/eV per atom
Calculated total energy: -5.54 eV per atom

Cell and atoms, written as POSCAR:
```
TbPmEuAg
1.0
-1.573 -5.222 0.464
1.868 -3.744 -3.528
3.571 -3.796 1.673
Eu Pm Ag Tb
1 1 1 1
Direct
0.000 0.000 0.000
0.250 0.250 0.250
0.500 0.500 0.500
0.750 0.750 0.750
```

---

Record 18
An optimized crystal structure of PmEuTlAg, computed with PBE.

Results
Symmetry: F-43m, No. 216
Energy of formation: -0.323 eV per atom
Total magnetization: 1.7466 μB/atom
N(E_F): 2.798 states/eV per atom
Calculated total energy: -5.38 eV per atom

Cell and atoms, written as POSCAR:
```
PmEuTlAg
1.0
5.443 0.000 0.000
2.721 4.714 0.000
2.721 1.571 4.444
Pm Tl Ag Eu
1 1 1 1
Direct
0.000 0.000 0.000
0.750 0.750 0.750
0.250 0.250 0.250
0.500 0.500 0.500
```

---

Record 19
An optimized crystal structure of PmEuTmAg, computed with PBE.

Results
Symmetry: F-43m, No. 216
Energy of formation: 0.096 eV per atom
Total magnetization: 1.9422 μB/atom
N(E_F): 1.236 states/eV per atom
Calculated total energy: -5.49 eV per atom

Cell and atoms, written as POSCAR:
```
PmEuTmAg
1.0
5.442 0.000 0.000
2.721 4.713 0.000
2.721 1.571 4.443
Tm Ag Eu Pm
1 1 1 1
Direct
0.500 0.500 0.500
0.250 0.250 0.250
0.750 0.750 0.750
0.000 0.000 0.000
```

---

Record 20
An optimized crystal structure of Pr2EuAg, computed with PBE.

Results
Excess energy over the best structure of this formula in the dataset: 0.00 eV/f.u.
Symmetry: P4/mmm, No. 123
Energy of formation: -0.070 eV per atom
Total magnetization: 2.1734 μB/atom
N(E_F): 1.265 states/eV per atom
Calculated total energy: -5.74 eV per atom

Cell and atoms, written as POSCAR:
```
Pr2EuAg
1.0
3.796 0.000 0.000
0.000 3.796 0.000
0.000 0.000 9.146
Ag Pr Eu
1 2 1
Direct
0.500 0.500 0.000
0.000 0.000 0.798
0.000 0.000 0.202
0.500 0.500 0.500
```